Entry 1:
# Sr2AlSb (PBE-GGA, optimized geometry)
data_Sr2AlSb
_cell_length_a 8.848
_cell_length_b 8.848
_cell_length_c 7.343
_cell_angle_alpha 90.00
_cell_angle_beta 90.00
_cell_angle_gamma 90.00
_symmetry_space_group_name_H-M 'I -4 2 d'
_symmetry_Int_Tables_number 122
_symmetry_space_group_name_Hall 'I -4 2bw'
loop_
_atom_site_label
_atom_site_fract_x
_atom_site_fract_y
_atom_site_fract_z
_atom_site_occupancy
Sr1 0.244 0.250 0.125 1
Al1 0.000 0.000 0.500 1
Sb1 0.000 0.000 0.000 1
# Total energy, eV/atom: -2.99
# Uncorrected formation energy, eV per atom: -0.19
# Relative energy among the computed polymorphs, meV/atom: 417

Entry 2:
# Sr2AlSb (PBE-GGA, optimized geometry)
data_Sr2AlSb
_cell_length_a 8.037
_cell_length_b 8.037
_cell_length_c 8.037
_cell_angle_alpha 90.00
_cell_angle_beta 90.00
_cell_angle_gamma 90.00
_symmetry_space_group_name_H-M 'F -4 3 m'
_symmetry_Int_Tables_number 216
_symmetry_space_group_name_Hall 'F -4 2 3'
loop_
_atom_site_label
_atom_site_fract_x
_atom_site_fract_y
_atom_site_fract_z
_atom_site_occupancy
Sr1 0.000 0.000 0.000 1
Sr2 0.250 0.250 0.250 1
Al1 0.000 0.000 0.500 1
Sb1 0.250 0.250 0.750 1
# Total energy, eV/atom: -2.89
# Uncorrected formation energy, eV per atom: -0.09
# Relative energy among the computed polymorphs, meV/atom: 516

Entry 3:
# Sr2Al2Sb (PBE-GGA, optimized geometry)
data_Sr2Al2Sb
_cell_length_a 7.697
_cell_length_b 7.697
_cell_length_c 5.006
_cell_angle_alpha 90.00
_cell_angle_beta 90.00
_cell_angle_gamma 90.00
_symmetry_space_group_name_H-M 'P 4/m b m'
_symmetry_Int_Tables_number 127
_symmetry_space_group_name_Hall '-P 4 2ab'
loop_
_atom_site_label
_atom_site_fract_x
_atom_site_fract_y
_atom_site_fract_z
_atom_site_occupancy
Sr1 0.176 0.324 0.000 1
Al1 0.121 0.621 0.500 1
Sb1 0.000 0.000 0.500 1
# Total energy, eV/atom: -3.32
# Uncorrected formation energy, eV per atom: -0.32

Entry 4:
# SrAlSb3 (PBE-GGA, optimized geometry)
data_SrAlSb3
_cell_length_a 6.002
_cell_length_b 6.002
_cell_length_c 6.002
_cell_angle_alpha 90.00
_cell_angle_beta 90.00
_cell_angle_gamma 90.00
_symmetry_space_group_name_H-M 'P m -3 m'
_symmetry_Int_Tables_number 221
_symmetry_space_group_name_Hall '-P 4 2 3'
loop_
_atom_site_label
_atom_site_fract_x
_atom_site_fract_y
_atom_site_fract_z
_atom_site_occupancy
Sr1 0.000 0.000 0.000 1
Al1 0.500 0.500 0.500 1
Sb1 0.000 0.000 0.500 1
# Total energy, eV/atom: -2.68
# Uncorrected formation energy, eV per atom: 0.88
# Relative energy among the computed polymorphs, meV/atom: 945

Entry 5:
# SrAlSb3 (PBE-GGA, optimized geometry)
data_SrAlSb3
_cell_length_a 5.398
_cell_length_b 5.398
_cell_length_c 5.398
_cell_angle_alpha 90.00
_cell_angle_beta 90.00
_cell_angle_gamma 90.00
_symmetry_space_group_name_H-M 'P m -3 m'
_symmetry_Int_Tables_number 221
_symmetry_space_group_name_Hall '-P 4 2 3'
loop_
_atom_site_label
_atom_site_fract_x
_atom_site_fract_y
_atom_site_fract_z
_atom_site_occupancy
Sr1 0.000 0.000 0.000 1
Al1 0.500 0.500 0.500 1
Sb1 0.000 0.500 0.500 1
# Total energy, eV/atom: -3.62
# Uncorrected formation energy, eV per atom: -0.06
# Relative energy among the computed polymorphs, meV/atom: 0

Entry 6:
# SrAl2Sb (PBE-GGA, optimized geometry)
data_SrAl2Sb
_cell_length_a 9.627
_cell_length_b 4.072
_cell_length_c 5.839
_cell_angle_alpha 90.00
_cell_angle_beta 106.81
_cell_angle_gamma 90.00
_symmetry_space_group_name_H-M 'C 1 2/m 1'
_symmetry_Int_Tables_number 12
loop_
_symmetry_equiv_pos_as_xyz
'x,y,z'
'-x,-y,-z'
'-x,y,-z'
'x,-y,z'
'x+1/2,y+1/2,z'
'-x+1/2,-y+1/2,-z'
'-x+1/2,y+1/2,-z'
'x+1/2,-y+1/2,z'
loop_
_atom_site_label
_atom_site_fract_x
_atom_site_fract_y
_atom_site_fract_z
_atom_site_occupancy
Sr1 0.000 0.000 0.000 1
Al1 0.232 0.000 0.658 1
Sb1 0.000 0.500 0.500 1
# Total energy, eV/atom: -3.46
# Uncorrected formation energy, eV per atom: -0.14

Entry 7:
# Sr2AlSb2 (PBE-GGA, optimized geometry)
data_Sr2AlSb2
_cell_length_a 9.830
_cell_length_b 13.790
_cell_length_c 6.903
_cell_angle_alpha 90.00
_cell_angle_beta 134.54
_cell_angle_gamma 90.00
_symmetry_space_group_name_H-M 'C 1 2/c 1'
_symmetry_Int_Tables_number 15
loop_
_symmetry_equiv_pos_as_xyz
'x,y,z'
'-x,-y,-z'
'-x,y,-z+1/2'
'x,-y,z+1/2'
'x+1/2,y+1/2,z'
'-x+1/2,-y+1/2,-z'
'-x+1/2,y+1/2,-z+1/2'
'x+1/2,-y+1/2,z+1/2'
loop_
_atom_site_label
_atom_site_fract_x
_atom_site_fract_y
_atom_site_fract_z
_atom_site_occupancy
Sr1 0.197 0.140 0.197 1
Al1 0.000 0.500 0.250 1
Sb1 0.216 0.384 0.216 1
# Total energy, eV/atom: -3.79
# Uncorrected formation energy, eV per atom: -0.72
# Relative energy among the computed polymorphs, meV/atom: 0

Entry 8:
# SrAlSb (PBE-GGA, optimized geometry)
data_SrAlSb
_cell_length_a 7.278
_cell_length_b 7.278
_cell_length_c 7.278
_cell_angle_alpha 90.00
_cell_angle_beta 90.00
_cell_angle_gamma 90.00
_symmetry_space_group_name_H-M 'F -4 3 m'
_symmetry_Int_Tables_number 216
_symmetry_space_group_name_Hall 'F -4 2 3'
loop_
_atom_site_label
_atom_site_fract_x
_atom_site_fract_y
_atom_site_fract_z
_atom_site_occupancy
Sr1 0.000 0.000 0.000 1
Al1 0.250 0.250 0.750 1
Sb1 0.000 0.000 0.500 1
# Total energy, eV/atom: -3.36
# Uncorrected formation energy, eV per atom: -0.18

Entry 9:
# Sr5Al2Sb6 (PBE-GGA, optimized geometry)
data_Sr5Al2Sb6
_cell_length_a 12.256
_cell_length_b 10.467
_cell_length_c 13.498
_cell_angle_alpha 90.00
_cell_angle_beta 90.00
_cell_angle_gamma 90.00
_symmetry_space_group_name_H-M 'P n m a'
_symmetry_Int_Tables_number 62
loop_
_symmetry_equiv_pos_as_xyz
'x,y,z'
'-x,-y,-z'
'-x+1/2,-y,z+1/2'
'x+1/2,y,-z+1/2'
'x+1/2,-y+1/2,-z+1/2'
'-x+1/2,y+1/2,z+1/2'
'-x,y+1/2,-z'
'x,-y+1/2,z'
loop_
_atom_site_label
_atom_site_fract_x
_atom_site_fract_y
_atom_site_fract_z
_atom_site_occupancy
Sr1 0.080 0.028 0.236 1
Sr2 0.162 0.250 0.812 1
Sr3 0.168 0.021 0.536 1
Al1 0.078 0.750 0.933 1
Al2 0.190 0.750 0.701 1
Sb1 0.001 0.250 0.410 1
Sb2 0.047 0.750 0.376 1
Sb3 0.144 0.750 0.123 1
Sb4 0.149 0.250 0.062 1
Sb5 0.174 0.555 0.830 1
# Total energy, eV/atom: -3.94
# Uncorrected formation energy, eV per atom: -0.81
# Relative energy among the computed polymorphs, meV/atom: 0

Entry 10:
# SrAl2Sb (PBE-GGA, optimized geometry)
data_SrAl2Sb
_cell_length_a 3.811
_cell_length_b 3.811
_cell_length_c 7.183
_cell_angle_alpha 90.00
_cell_angle_beta 90.00
_cell_angle_gamma 90.00
_symmetry_space_group_name_H-M 'P 4/m m m'
_symmetry_Int_Tables_number 123
_symmetry_space_group_name_Hall '-P 4 2'
loop_
_atom_site_label
_atom_site_fract_x
_atom_site_fract_y
_atom_site_fract_z
_atom_site_occupancy
Sr1 0.000 0.000 0.000 1
Al1 0.500 0.500 0.311 1
Sb1 0.000 0.000 0.500 1
# Total energy, eV/atom: -3.45
# Uncorrected formation energy, eV per atom: -0.13

Entry 11:
# SrAlSb (PBE-GGA, optimized geometry)
data_SrAlSb
_cell_length_a 3.862
_cell_length_b 3.862
_cell_length_c 11.471
_cell_angle_alpha 90.00
_cell_angle_beta 90.00
_cell_angle_gamma 90.00
_symmetry_space_group_name_H-M 'I 4 m m'
_symmetry_Int_Tables_number 107
_symmetry_space_group_name_Hall 'I 4 -2'
loop_
_atom_site_label
_atom_site_fract_x
_atom_site_fract_y
_atom_site_fract_z
_atom_site_occupancy
Sr1 0.000 0.000 0.000 1
Al1 0.000 0.000 0.702 1
Sb1 0.000 0.000 0.298 1
# Total energy, eV/atom: -3.54
# Uncorrected formation energy, eV per atom: -0.36

Entry 12:
# SrAl2Sb (PBE-GGA, optimized geometry)
data_SrAl2Sb
_cell_length_a 4.588
_cell_length_b 4.588
_cell_length_c 4.790
_cell_angle_alpha 90.00
_cell_angle_beta 90.00
_cell_angle_gamma 90.00
_symmetry_space_group_name_H-M 'P 4/m m m'
_symmetry_Int_Tables_number 123
_symmetry_space_group_name_Hall '-P 4 2'
loop_
_atom_site_label
_atom_site_fract_x
_atom_site_fract_y
_atom_site_fract_z
_atom_site_occupancy
Sr1 0.000 0.000 0.000 1
Al1 0.000 0.500 0.500 1
Sb1 0.500 0.500 0.000 1
# Total energy, eV/atom: -3.50
# Uncorrected formation energy, eV per atom: -0.18

Among the records above, which one has the lowest total energy?
Sr5Al2Sb6

Look up the uncorrected formation energy of the eighth one.
-0.18 eV per atom

The highest uncorrected formation energy belongs to which entry?
number 4

Which of these has the lowest total energy?
Sr5Al2Sb6